VASP calculation (PBEsol) on an optimized crystal structure of NbSiRhBr2.

The structure in POSCAR format:
```
NbSiRhBr2
1.0
4.941 0.000 0.000
0.000 4.941 0.000
0.000 0.000 4.870
Nb Si Rh Br
1 1 1 2
direct
0.000 0.000 0.000
0.500 0.500 0.500
0.000 0.000 0.500
0.000 0.500 0.000
0.500 0.000 0.000
```

ρ ... 5.36 g/cm³
E_form (uncorrected) ... 0.785 eV per atom
Space-group type ... P4/mmm (123)